VASP calculation (GGA-PBE) on a relaxed NbBN2 crystal. Values from VASP.

Results
E_form (uncorrected): 0.7866 eV per atom
SG: No. 166
raw total energy: -30.3 eV for the cell shown

```
&SYSTEM
  ibrav = 0, nat = 4, ntyp = 3
/
ATOMIC_SPECIES
Nb 92.91 Nb.upf
B 10.81 B.upf
N 14.01 N.upf
ATOMIC_POSITIONS angstrom
Nb 0.000 0.000 0.000
B 0.000 0.000 8.534
N 0.000 0.000 2.016
N 0.000 0.000 15.051
CELL_PARAMETERS angstrom
1.401 0.809 5.689
-1.401 0.809 5.689
0.000 -1.618 5.689
```

=====

VASP calculation (GGA-PBE) on a relaxed NbB6N6 crystal. Values from VASP.

Results
E_form (uncorrected): -0.0703 eV per atom
SG: No. 200
raw total energy: -101.0 eV for the cell shown

```
&SYSTEM
  ibrav = 0, nat = 13, ntyp = 3
/
ATOMIC_SPECIES
Nb 92.91 Nb.upf
B 10.81 B.upf
N 14.01 N.upf
ATOMIC_POSITIONS angstrom
Nb 0.000 0.000 0.000
B 0.000 1.101 2.303
B 0.000 3.505 2.303
B 1.101 2.303 0.000
B 2.303 0.000 1.101
B 2.303 0.000 3.505
B 3.505 2.303 0.000
N 0.000 2.303 1.159
N 0.000 2.303 3.447
N 1.159 0.000 2.303
N 2.303 1.159 0.000
N 2.303 3.447 0.000
N 3.447 0.000 2.303
CELL_PARAMETERS angstrom
4.605 0.000 0.000
0.000 4.605 0.000
0.000 0.000 4.605
```

=====

VASP calculation (GGA-PBE) on a relaxed Nb7B2N2 crystal. Values from VASP.

Results
E_form (uncorrected): -0.3823 eV per atom
SG: No. 44
raw total energy: -104.7 eV for the cell shown

```
&SYSTEM
  ibrav = 0, nat = 11, ntyp = 3
/
ATOMIC_SPECIES
Nb 92.91 Nb.upf
B 10.81 B.upf
N 14.01 N.upf
ATOMIC_POSITIONS angstrom
Nb 0.000 0.000 0.000
Nb 1.559 2.263 0.736
Nb 1.559 4.779 -0.755
Nb 0.000 1.413 3.048
Nb 0.000 4.482 1.795
Nb 0.000 7.901 1.795
Nb 0.000 3.929 4.538
B 1.559 0.000 1.817
B 0.000 0.000 5.059
N 1.559 -3.147 2.891
N 1.559 3.147 2.891
CELL_PARAMETERS angstrom
-1.559 6.192 3.802
1.559 -6.192 3.802
1.559 6.192 -3.802
```

=====

VASP calculation (GGA-PBE) on a relaxed NbB3N3 crystal. Values from VASP.

Results
E_form (uncorrected): 0.5652 eV per atom
SG: No. 223
raw total energy: -102.2 eV for the cell shown

```
&SYSTEM
  ibrav = 0, nat = 14, ntyp = 3
/
ATOMIC_SPECIES
Nb 92.91 Nb.upf
B 10.81 B.upf
N 14.01 N.upf
ATOMIC_POSITIONS angstrom
Nb 0.000 0.000 0.000
Nb 2.359 2.359 2.359
B 0.000 1.179 2.359
B 0.000 3.538 2.359
B 1.179 2.359 0.000
B 2.359 0.000 1.179
B 2.359 0.000 3.538
B 3.538 2.359 0.000
N 0.000 2.359 1.179
N 0.000 2.359 3.538
N 1.179 0.000 2.359
N 2.359 1.179 0.000
N 2.359 3.538 0.000
N 3.538 0.000 2.359
CELL_PARAMETERS angstrom
4.717 0.000 0.000
0.000 4.717 0.000
0.000 0.000 4.717
```

=====

VASP calculation (GGA-PBE) on a relaxed Nb3BN crystal. Values from VASP.

Results
E_form (uncorrected): 0.0840 eV per atom
energy relative to the lowest polymorph listed for this composition: 0.0 meV per atom
SG: No. 221
raw total energy: -44.8 eV for the cell shown

```
&SYSTEM
  ibrav = 0, nat = 5, ntyp = 3
/
ATOMIC_SPECIES
Nb 92.91 Nb.upf
B 10.81 B.upf
N 14.01 N.upf
ATOMIC_POSITIONS angstrom
Nb 0.000 0.000 2.081
Nb 0.000 2.081 0.000
Nb 2.081 0.000 0.000
B 2.081 2.081 2.081
N 0.000 0.000 0.000
CELL_PARAMETERS angstrom
4.163 0.000 0.000
0.000 4.163 0.000
0.000 0.000 4.163
```

=====

VASP calculation (GGA-PBE) on a relaxed Nb2BNO crystal. Values from VASP.

Results
E_form (uncorrected): 0.2414 eV per atom
SG: No. 123
raw total energy: -38.9 eV for the cell shown

```
&SYSTEM
  ibrav = 0, nat = 5, ntyp = 4
/
ATOMIC_SPECIES
Nb 92.91 Nb.upf
B 10.81 B.upf
N 14.01 N.upf
O 16.00 O.upf
ATOMIC_POSITIONS angstrom
Nb 0.000 2.139 0.000
Nb 2.139 0.000 0.000
B 0.000 0.000 1.505
N 2.139 2.139 1.505
O 0.000 0.000 0.000
CELL_PARAMETERS angstrom
4.277 0.000 0.000
0.000 4.277 0.000
0.000 0.000 3.009
```

=====

Question: Number 3 is which compound?
Answer: Nb7B2N2

=====

Question: Among the records above, which one has the highest raw total energy?
Answer: NbBN2